No. 1
A plane-wave DFT calculation with GGA-PBE was carried out for MgNiAs2 after structural relaxation.

Summary:
- Formation enthalpy at 0 K: -0.045 eV/atom
- Total DFT energy (no corrections): -16.85 eV/cell
- Total magnetization: 0.00 μB per formula unit

```
4
Lattice="4.189 0.000 0.000 0.000 4.189 0.000 0.000 0.000 3.712" Properties=species:S:1:pos:R:3 pbc="T T T"
Mg 0.000 0.000 0.000
Ni 2.094 2.094 0.000
As 0.000 2.094 1.856
As 2.094 0.000 1.856
```

---

No. 2
A plane-wave DFT calculation with GGA-PBE was carried out for HfZrCr3 after structural relaxation.

Summary:
- Formation enthalpy at 0 K: 1.430 eV/atom
- Total DFT energy (no corrections): -40.22 eV/cell
- Total magnetization: 7.48 μB per formula unit

```
5
Lattice="4.663 0.000 0.000 0.000 4.663 0.000 0.000 0.000 4.663" Properties=species:S:1:pos:R:3 pbc="T T T"
Hf 0.000 0.000 0.000
Zr 2.332 2.332 2.332
Cr 0.000 0.000 2.332
Cr 0.000 2.332 0.000
Cr 2.332 0.000 0.000
```

---

No. 3
A plane-wave DFT calculation with GGA-PBE was carried out for ZnCo2Tc after structural relaxation.

Summary:
- Formation enthalpy at 0 K: 0.140 eV/atom
- Total DFT energy (no corrections): -25.29 eV/cell
- Total magnetization: 2.10 μB per formula unit

```
4
Lattice="4.212 -1.296 0.000 4.212 1.296 0.000 -0.646 0.000 4.578" Properties=species:S:1:pos:R:3 pbc="T T T"
Zn 0.000 0.000 0.000
Co 1.622 0.000 3.379
Co 6.156 0.000 1.199
Tc 3.889 0.000 2.289
```

---

No. 4
A plane-wave DFT calculation with GGA-PBE was carried out for LiLa14Tb after structural relaxation.

Summary:
- Formation enthalpy at 0 K: 0.029 eV/atom
- Total DFT energy (no corrections): -75.06 eV/cell
- Total magnetization: 0.00 μB per formula unit

```
16
Lattice="7.344 0.000 0.000 0.000 7.344 0.000 0.000 0.000 10.508" Properties=species:S:1:pos:R:3 pbc="T T T"
Li 0.000 0.000 0.000
La 0.000 0.000 5.254
La 0.000 3.672 0.000
La 0.000 3.672 5.254
La 1.829 1.829 2.597
La 1.829 1.829 7.911
La 1.829 5.514 2.597
La 1.829 5.514 7.911
La 3.672 0.000 0.000
La 3.672 0.000 5.254
La 3.672 3.672 5.254
La 5.514 1.829 2.597
La 5.514 1.829 7.911
La 5.514 5.514 2.597
La 5.514 5.514 7.911
Tb 3.672 3.672 0.000
```

---

No. 5
A plane-wave DFT calculation with GGA-PBE was carried out for Pr2InAg after structural relaxation.

Summary:
- Formation enthalpy at 0 K: -0.155 eV/atom
- Total DFT energy (no corrections): -15.77 eV/cell
- Total magnetization: 0.00 μB per formula unit

```
4
Lattice="1.922 1.109 9.578 -1.922 1.109 9.578 0.000 -2.219 9.578" Properties=species:S:1:pos:R:3 pbc="T T T"
Pr 0.000 0.000 7.108
Pr 0.000 0.000 21.625
In 0.000 0.000 0.000
Ag 0.000 0.000 14.366
```

---

No. 6
A plane-wave DFT calculation with GGA-PBE was carried out for SrTlRe2O8 after structural relaxation.

Summary:
- E_form (uncorrected): -1804 meV per atom
- Total DFT energy (no corrections): -90.26 eV/cell
- Total magnetization: 1.09 μB per formula unit

```
12
Lattice="6.233 0.000 0.000 -3.117 5.398 0.000 0.000 0.000 7.905" Properties=species:S:1:pos:R:3 pbc="T T T"
Sr 0.000 0.000 0.000
Tl 0.000 0.000 3.952
Re 0.000 3.599 2.185
Re 3.117 1.799 5.719
O -0.011 1.911 1.607
O -1.456 4.452 1.607
O 0.000 3.599 3.943
O 1.649 0.965 6.298
O 1.467 4.433 1.607
O 3.117 1.799 3.962
O 4.573 0.946 6.298
O 3.128 3.487 6.298
```

---

No. 7
A plane-wave DFT calculation with GGA-PBE was carried out for NdThSi2 after structural relaxation.

Summary:
- E_form (uncorrected): -538 meV per atom
- Total DFT energy (no corrections): -25.19 eV/cell
- Total magnetization: 0.00 μB per formula unit

```
4
Lattice="2.129 1.229 6.969 -2.129 1.229 6.969 0.000 -2.458 6.969" Properties=species:S:1:pos:R:3 pbc="T T T"
Nd 0.000 0.000 0.000
Th 0.000 0.000 10.453
Si 0.000 0.000 5.207
Si 0.000 0.000 15.700
```

---

No. 8
A plane-wave DFT calculation with GGA-PBE was carried out for Pa2SnBi2N2 after structural relaxation.

Summary:
- E_form (uncorrected): -796 meV per atom
- Total DFT energy (no corrections): -52.98 eV/cell
- Total magnetization: 0.64 μB per formula unit

```
7
Lattice="3.794 0.000 0.000 -1.897 3.285 0.000 0.000 0.000 14.592" Properties=species:S:1:pos:R:3 pbc="T T T"
Pa 0.000 2.190 1.452
Pa 1.897 1.095 13.140
Sn 0.000 0.000 7.296
Bi 0.000 0.000 4.079
Bi 0.000 0.000 10.513
N 0.000 2.190 13.735
N 1.897 1.095 0.857
```

---

No. 9
A plane-wave DFT calculation with GGA-PBE was carried out for NaLiGe2Br6 after structural relaxation.

Summary:
- E_form (uncorrected): -944 meV per atom
- Total DFT energy (no corrections): -63.88 eV/cell
- Total magnetization: 0.00 μB per formula unit

```
20
Lattice="6.759 -6.612 0.000 6.759 6.612 0.000 -1.821 0.000 7.506" Properties=species:S:1:pos:R:3 pbc="T T T"
Na 5.393 5.431 5.629
Na 6.303 -5.431 1.876
Li 6.303 2.756 1.876
Li 5.393 -2.756 5.629
Ge 3.325 1.128 0.232
Ge 2.414 -1.128 3.985
Ge 9.282 1.128 3.521
Ge 8.372 -1.128 7.274
Br 0.731 0.758 4.609
Br 3.499 3.612 7.076
Br 1.641 -0.758 0.856
Br 4.264 1.359 2.612
Br 7.288 3.612 4.183
Br 3.354 -1.359 6.365
Br 8.343 1.359 1.141
Br 4.409 -3.612 3.323
Br 7.433 -1.359 4.894
Br 10.056 0.758 6.650
Br 8.198 -3.612 0.430
Br 10.966 -0.758 2.897
```

---

No. 10
A plane-wave DFT calculation with GGA-PBE was carried out for NaAcPbF6 after structural relaxation.

Summary:
- E_form (uncorrected): -3205 meV per atom
- Total DFT energy (no corrections): -98.42 eV/cell
- Total magnetization: 0.00 μB per formula unit

```
18
Lattice="5.564 0.000 0.000 0.000 5.564 0.000 0.000 0.000 11.597" Properties=species:S:1:pos:R:3 pbc="T T T"
Na 0.000 0.000 0.000
Na 2.782 2.782 5.798
Ac 0.000 0.000 3.883
Ac 2.782 2.782 9.681
Pb 0.000 0.000 7.727
Pb 2.782 2.782 1.928
F 1.046 1.046 1.954
F 1.063 1.063 9.684
F 1.103 1.103 5.742
F 1.679 3.885 11.541
F 1.719 3.845 3.886
F 1.736 3.828 7.752
F 3.828 1.736 7.752
F 3.845 1.719 3.886
F 3.885 1.679 11.541
F 4.461 4.461 5.742
F 4.501 4.501 9.684
F 4.518 4.518 1.954
```

---

No. 11
A plane-wave DFT calculation with GGA-PBE was carried out for CrSiSe after structural relaxation.

Summary:
- E_form (uncorrected): 368 meV per atom
- Total DFT energy (no corrections): -17.43 eV/cell
- Total magnetization: 1.85 μB per formula unit

```
3
Lattice="4.209 0.000 0.000 -2.104 3.645 0.000 0.000 0.000 3.055" Properties=species:S:1:pos:R:3 pbc="T T T"
Cr 0.000 0.000 0.000
Si 0.000 2.430 1.527
Se 2.104 1.215 0.000
```

---

No. 12
A plane-wave DFT calculation with GGA-PBE was carried out for Zn2InAg8 after structural relaxation.

Summary:
- Formation enthalpy at 0 K: -0.018 eV/atom
- Total DFT energy (no corrections): -28.30 eV/cell
- Total magnetization: 0.00 μB per formula unit

```
11
Lattice="7.412 -2.085 0.000 7.412 2.085 0.000 -1.922 0.000 6.295" Properties=species:S:1:pos:R:3 pbc="T T T"
Zn 3.017 0.000 0.918
Zn 9.886 0.000 5.377
In 6.451 0.000 3.148
Ag 0.255 0.000 1.421
Ag 0.813 0.000 4.449
Ag 3.591 0.000 3.652
Ag 5.884 0.000 0.227
Ag 7.018 0.000 6.068
Ag 9.312 0.000 2.644
Ag 12.090 0.000 1.846
Ag 12.648 0.000 4.874
```